[1]
Crystalline NpPa2Se6 at its relaxed geometry. Source: Alexandria via LeMat-Bulk, functional GGA-PBE.

Geometry as CIF:
```
data_NpPa2Se6
_chemical_formula_sum 'Np1 Pa2 Se6'
_symmetry_space_group_name_H-M 'P 1'
_symmetry_Int_Tables_number 1
_symmetry_space_group_name_Hall 'P 1'
_cell_length_a 5.416
_cell_length_b 7.578
_cell_length_c 8.025
_cell_angle_alpha 73.05
_cell_angle_beta 70.28
_cell_angle_gamma 69.06
loop_
_atom_site_label
_atom_site_type_symbol
_atom_site_fract_x
_atom_site_fract_y
_atom_site_fract_z
Se1 Se 0.257 0.359 0.128
Se2 Se 0.958 0.859 0.225
Se3 Se 0.042 0.141 0.775
Se4 Se 0.627 0.293 0.454
Se5 Se 0.743 0.641 0.872
Se6 Se 0.373 0.707 0.546
Pa1 Pa 0.817 0.259 0.108
Pa2 Pa 0.183 0.741 0.892
Np1 Np 0.000 0.500 0.500
```

Values from the calculation:
**D(E_F)**: 12.6 states/eV per cell
**SG**: C2/m
**Energy**: -63.4 eV per formula unit
**Calculated density**: 6.86 g cm⁻³
**Relative energy among the computed polymorphs**: 41 meV/atom

[2]
Crystalline Np2Pa3Se8 at its relaxed geometry. Source: Alexandria via LeMat-Bulk, functional GGA-PBE.

Geometry as CIF:
```
data_Np2Pa3Se8
_chemical_formula_sum 'Np2 Pa3 Se8'
_symmetry_space_group_name_H-M 'P 1'
_symmetry_Int_Tables_number 1
_symmetry_space_group_name_Hall 'P 1'
_cell_length_a 4.943
_cell_length_b 9.872
_cell_length_c 8.546
_cell_angle_alpha 125.29
_cell_angle_beta 90.00
_cell_angle_gamma 90.00
loop_
_atom_site_label
_atom_site_type_symbol
_atom_site_fract_x
_atom_site_fract_y
_atom_site_fract_z
Se1 Se 0.000 0.625 0.251
Se2 Se 0.000 0.375 0.749
Se3 Se 0.500 0.880 0.245
Se4 Se 0.500 0.635 0.755
Se5 Se 0.500 0.120 0.755
Se6 Se 0.000 0.118 0.237
Se7 Se 0.000 0.882 0.763
Se8 Se 0.500 0.365 0.245
Pa1 Pa 0.500 0.000 0.000
Pa2 Pa 0.000 0.733 0.000
Pa3 Pa 0.000 0.267 0.000
Np1 Np 0.500 0.262 0.525
Np2 Np 0.500 0.738 0.475
```

Values from the calculation:
**D(E_F)**: 28.1 states/eV per cell
**SG**: Cmmm
**Energy**: -98.1 eV per formula unit
**Calculated density**: 8.78 g cm⁻³
**Relative energy among the computed polymorphs**: 0 meV/atom

[3]
Crystalline NpPaSe4 at its relaxed geometry. Source: Alexandria via LeMat-Bulk, functional GGA-PBE.

Geometry as CIF:
```
data_NpPaSe4
_chemical_formula_sum 'Np1 Pa1 Se4'
_symmetry_space_group_name_H-M 'P 1'
_symmetry_Int_Tables_number 1
_symmetry_space_group_name_Hall 'P 1'
_cell_length_a 4.824
_cell_length_b 4.824
_cell_length_c 6.840
_cell_angle_alpha 90.02
_cell_angle_beta 90.02
_cell_angle_gamma 90.00
loop_
_atom_site_label
_atom_site_type_symbol
_atom_site_fract_x
_atom_site_fract_y
_atom_site_fract_z
Se1 Se 0.500 0.500 0.254
Se2 Se 0.000 0.000 0.254
Se3 Se 0.500 0.500 0.746
Se4 Se 0.000 0.000 0.746
Np1 Np 0.500 0.000 0.000
Pa1 Pa 0.000 0.500 0.500
```

Values from the calculation:
**D(E_F)**: 14.7 states/eV per cell
**SG**: P4/mmm
**Energy**: -43.8 eV per formula unit
**Calculated density**: 8.18 g cm⁻³
**Relative energy among the computed polymorphs**: 0 meV/atom

[4]
Crystalline Np2PaSe5 at its relaxed geometry. Source: Alexandria via LeMat-Bulk, functional GGA-PBE.

Geometry as CIF:
```
data_Np2PaSe5
_chemical_formula_sum 'Np8 Pa4 Se20'
_symmetry_space_group_name_H-M 'P 1'
_symmetry_Int_Tables_number 1
_symmetry_space_group_name_Hall 'P 1'
_cell_length_a 7.727
_cell_length_b 8.349
_cell_length_c 12.105
_cell_angle_alpha 90.00
_cell_angle_beta 90.00
_cell_angle_gamma 90.00
loop_
_atom_site_label
_atom_site_type_symbol
_atom_site_fract_x
_atom_site_fract_y
_atom_site_fract_z
Se1 Se 0.829 0.049 0.906
Se2 Se 0.329 0.549 0.594
Se3 Se 0.671 0.049 0.406
Se4 Se 0.803 0.750 0.219
Se5 Se 0.538 0.750 0.000
Se6 Se 0.167 0.750 0.812
Se7 Se 0.667 0.250 0.688
Se8 Se 0.303 0.250 0.281
Se9 Se 0.197 0.250 0.781
Se10 Se 0.171 0.951 0.094
Se11 Se 0.697 0.750 0.719
Se12 Se 0.671 0.451 0.406
Se13 Se 0.462 0.250 0.000
Se14 Se 0.829 0.451 0.906
Se15 Se 0.171 0.549 0.094
Se16 Se 0.329 0.951 0.594
Se17 Se 0.038 0.250 0.500
Se18 Se 0.962 0.750 0.500
Se19 Se 0.333 0.750 0.312
Se20 Se 0.833 0.250 0.188
Np1 Np 0.027 0.502 0.322
Np2 Np 0.527 0.498 0.178
Np3 Np 0.973 0.498 0.678
Np4 Np 0.473 0.502 0.822
Np5 Np 0.527 0.002 0.178
Np6 Np 0.973 0.002 0.678
Np7 Np 0.473 0.998 0.822
Np8 Np 0.027 0.998 0.322
Pa1 Pa 0.081 0.250 0.010
Pa2 Pa 0.919 0.750 0.990
Pa3 Pa 0.419 0.250 0.510
Pa4 Pa 0.581 0.750 0.490
```

Values from the calculation:
**D(E_F)**: 95.4 states/eV per cell
**SG**: Pnma
**Energy**: -62.9 eV per formula unit
**Calculated density**: 9.35 g cm⁻³

[5]
Crystalline Np2Pa2Se7 at its relaxed geometry. Source: Alexandria via LeMat-Bulk, functional GGA-PBE.

Geometry as CIF:
```
data_Np2Pa2Se7
_chemical_formula_sum 'Np2 Pa2 Se7'
_symmetry_space_group_name_H-M 'P 1'
_symmetry_Int_Tables_number 1
_symmetry_space_group_name_Hall 'P 1'
_cell_length_a 4.824
_cell_length_b 4.824
_cell_length_c 13.608
_cell_angle_alpha 90.00
_cell_angle_beta 90.00
_cell_angle_gamma 90.00
loop_
_atom_site_label
_atom_site_type_symbol
_atom_site_fract_x
_atom_site_fract_y
_atom_site_fract_z
Se1 Se 0.000 0.000 0.757
Se2 Se 0.000 0.000 0.500
Se3 Se 0.500 0.500 0.255
Se4 Se 0.500 0.500 0.500
Se5 Se 0.500 0.500 0.745
Se6 Se 0.500 0.500 0.000
Se7 Se 0.000 0.000 0.243
Np1 Np 0.500 0.000 0.868
Np2 Np 0.000 0.500 0.132
Pa1 Pa 0.500 0.000 0.372
Pa2 Pa 0.000 0.500 0.628
```

Values from the calculation:
**D(E_F)**: 32.0 states/eV per cell
**SG**: P-4m2
**Energy**: -81.6 eV per formula unit
**Calculated density**: 7.81 g cm⁻³
**Relative energy among the computed polymorphs**: 129 meV/atom

[6]
Crystalline NpPa6Se12 at its relaxed geometry. Source: Alexandria via LeMat-Bulk, functional GGA-PBE.

Geometry as CIF:
```
data_NpPa6Se12
_chemical_formula_sum 'Np1 Pa6 Se12'
_symmetry_space_group_name_H-M 'P 1'
_symmetry_Int_Tables_number 1
_symmetry_space_group_name_Hall 'P 1'
_cell_length_a 8.291
_cell_length_b 8.291
_cell_length_c 8.291
_cell_angle_alpha 100.15
_cell_angle_beta 100.15
_cell_angle_gamma 100.15
loop_
_atom_site_label
_atom_site_type_symbol
_atom_site_fract_x
_atom_site_fract_y
_atom_site_fract_z
Se1 Se 0.423 0.566 0.177
Se2 Se 0.932 0.041 0.669
Se3 Se 0.669 0.932 0.041
Se4 Se 0.177 0.423 0.566
Se5 Se 0.566 0.177 0.423
Se6 Se 0.823 0.577 0.434
Se7 Se 0.959 0.331 0.068
Se8 Se 0.331 0.068 0.959
Se9 Se 0.068 0.959 0.331
Se10 Se 0.577 0.434 0.823
Se11 Se 0.434 0.823 0.577
Se12 Se 0.041 0.669 0.932
Pa1 Pa 0.691 0.865 0.367
Pa2 Pa 0.865 0.367 0.691
Pa3 Pa 0.367 0.691 0.865
Pa4 Pa 0.633 0.309 0.135
Pa5 Pa 0.135 0.633 0.309
Pa6 Pa 0.309 0.135 0.633
Np1 Np 0.000 0.000 0.000
```

Values from the calculation:
**D(E_F)**: 38.0 states/eV per cell
**SG**: R-3
**Energy**: -135.1 eV per formula unit
**Calculated density**: 7.91 g cm⁻³

no.,E_form (uncorrected) (eV/atom)
1,-1.172
2,-1.222
3,-1.232
4,-1.265
5,-1.125
6,-1.231